A relaxed Ir4OsRu3 crystal. Source: Alexandria via LeMat-Bulk, functional PBE.

Summary:
- Energy of formation: 0.39 eV/atom
- Offset from the most stable computed form: 90.1 meV/atom
- Uncorrected energy: -0.656 Ry per atom

Unit cell a=11.2321 b=11.2321 c=11.2321 alpha=165.89 beta=159.27 gamma=25.17
Last column: nearest neighbours and their distance in Å.
Element x y z (fractional)
Ir 0.1009 0.1009 0.0000  2 Os 2.61, 3 Ir 2.63-2.76, 4 Ru 2.75
Ir 0.2206 0.2206 0.0000  7 Ir 2.63-2.77, 5 Ru 2.67-2.81
Ir 0.7794 0.7794 0.0000  7 Ir 2.63-2.77, 5 Ru 2.67-2.81
Ir 0.8991 0.8991 0.0000  2 Os 2.61, 3 Ir 2.63-2.76, 4 Ru 2.75
Os 0.0000 0.5000 0.5000  4 Ru 2.45, 4 Ir 2.61
Ru 0.3424 0.3424 0.0000  9 Ir 2.67-2.81, 2 Ru 2.76
Ru 0.5000 0.0000 0.5000  4 Os 2.45
Ru 0.6576 0.6576 0.0000  9 Ir 2.67-2.81, 2 Ru 2.76